4
Lattice="3.647 0.000 0.000 0.000 3.647 0.000 0.000 0.000 9.342" Properties=species:S:1:pos:R:3 comment="PrHo2Pb (PBE, optimized geometry)" n_ef_per_ev_atom=1.219 relative_energy_mev_per_atom=111 density_g_cm3=9.059 e_form_ev_per_atom=-0.200 space_group="P4/mmm, No. 123" crystal_system=tetragonal pbc="T T T"
Pb 1.824 1.824 0.000
Pr 1.824 1.824 4.671
Ho 0.000 0.000 7.206
Ho 0.000 0.000 2.135